Entry 1:
A relaxed Ac2Mg2CdPt5 crystal. Source: Alexandria via LeMat-Bulk, functional GGA-PBE.

It has space group P4/mbm (No. 127), with a = 10.370 Å, b = 10.370 Å, c = 3.868 Å, α = 90.00°, β = 90.00° and γ = 90.00°. The asymmetric unit holds Ac at (0.182, 0.318, 0.000), Mg at (0.117, 0.617, 0.000), Cd at (0.000, 0.000, 0.000), Pt at (0.000, 0.500, 0.500) and Pt at (0.056, 0.793, 0.500).

Its calculated formation energy is -0.67 eV per atom.


Entry 2:
A relaxed LiScCdAg crystal. Source: Alexandria via LeMat-Bulk, functional GGA-PBE.

It has space group P4mm (No. 99), with a = 3.318 Å, b = 3.318 Å, c = 6.949 Å, α = 90.00°, β = 90.00° and γ = 90.00°. The asymmetric unit holds Li at (0.000, 0.000, 0.000), Sc at (0.000, 0.000, 0.477), Cd at (0.500, 0.500, 0.767) and Ag at (0.500, 0.500, 0.218).

Its calculated formation energy is -0.24 eV per atom.


Entry 3:
A relaxed GaBiAsBr2 crystal. Source: Alexandria via LeMat-Bulk, functional GGA-PBE.

It has space group P4/mmm (No. 123), with a = 5.066 Å, b = 5.066 Å, c = 5.307 Å, α = 90.00°, β = 90.00° and γ = 90.00°. The asymmetric unit holds Ga at (0.000, 0.000, 0.000), Bi at (0.500, 0.500, 0.500), As at (0.000, 0.000, 0.500) and Br at (0.000, 0.500, 0.000).

Its energy relative to the elements, uncorrected is 0.1061 eV per atom.


Entry 4:
A relaxed YTeAuI2 crystal. Source: Alexandria via LeMat-Bulk, functional GGA-PBE.

It has space group P4/mmm (No. 123), with a = 6.093 Å, b = 6.093 Å, c = 5.279 Å, α = 90.00°, β = 90.00° and γ = 90.00°. The asymmetric unit holds Y at (0.000, 0.000, 0.000), Te at (0.500, 0.500, 0.500), Au at (0.500, 0.500, 0.000) and I at (0.000, 0.500, 0.500).

Its energy relative to the elements, uncorrected is 0.3133 eV per atom.